The following is a PBE calculation of a geometry-optimized Dy3Y2TaN6 structure, from Alexandria.

## Properties
- Formation energy (no corrections): -1.610 eV per atom
- SG: No. 12
- Calculated volume: 165.82 Å³/cell
- M_tot: 0.0 μB/f.u.

Cell lengths 5.8810, 5.8810, 5.8716 Å; angles 99.62, 99.62, 119.97 degrees
Last column: nearest neighbours and their distance in Å.
Positions (direct):
Dy 0.1661 0.8339 0.5000  6 N 2.38-2.57
Dy 0.8339 0.1661 0.5000  6 N 2.38-2.57
Dy 0.5000 0.5000 0.5000  6 N 2.40-2.55
Y 0.3334 0.6666 0.0000  6 N 2.41-2.42
Y 0.6666 0.3334 0.0000  6 N 2.41-2.42
Ta 0.0000 0.0000 0.0000  6 N 2.23-2.25
N 0.9218 0.6125 0.7659  1 Ta 2.23, 2 Dy 2.40, 2 Y 2.41
N 0.7691 0.7691 0.2376  1 Ta 2.25, 2 Dy 2.38, 2 Y 2.42
N 0.0782 0.3875 0.2341  1 Ta 2.23, 2 Dy 2.40, 2 Y 2.41
N 0.6125 0.9218 0.7659  1 Ta 2.23, 2 Dy 2.40, 2 Y 2.41
N 0.2309 0.2309 0.7624  1 Ta 2.25, 2 Dy 2.38, 2 Y 2.42
N 0.3875 0.0782 0.2341  1 Ta 2.23, 2 Dy 2.40, 2 Y 2.41

The following is a PBE calculation of a geometry-optimized Co2As2W structure, from Alexandria.

## Properties
- SG: No. 127
- Calculated volume: 133.56 Å³/cell
- M_tot: 0.4 μB/f.u.
- Formation energy: 0.6 eV per formula unit

Cell lengths 6.9018, 6.9018, 2.8038 Å; angles 90.00, 90.00, 90.00 degrees
Last column: nearest neighbours and their distance in Å.
Positions (direct):
As 0.3456 0.8456 0.0000  6 Co 2.43-2.48, 2 W 2.61
As 0.8456 0.6544 0.0000  6 Co 2.43-2.48, 2 W 2.61
As 0.6544 0.1544 0.0000  6 Co 2.43-2.48, 2 W 2.61
As 0.1544 0.3456 0.0000  6 Co 2.43-2.48, 2 W 2.61
Co 0.1417 0.6417 0.5000  6 As 2.43-2.48
Co 0.6417 0.8583 0.5000  6 As 2.43-2.48
Co 0.8583 0.3583 0.5000  6 As 2.43-2.48
Co 0.3583 0.1417 0.5000  6 As 2.43-2.48
W 0.0000 0.0000 0.0000  4 As 2.61, 2 W 2.80
W 0.5000 0.5000 0.0000  4 As 2.61, 2 W 2.80